(1)
# Sr2GaAgN

Crystalline Sr2GaAgN at its relaxed geometry (GGA-PBE, the Alexandria database).

The space group is P2_1/m (No. 11) and the conventional cell measures 7.419, 4.138 and 8.653 Å, with angles of 90.00, 110.80 and 90.00 degrees. Symmetry generates all atoms from Sr at (0.181, 0.250, 0.385), Sr at (0.192, 0.250, 0.964), Ga at (0.447, 0.750, 0.269), Ag at (0.329, 0.750, 0.709) and N at (0.174, 0.750, 0.169).

The electronic total energy is -39.6 eV/cell. The calculation puts the mass density at 4.91 Mg/m³. As for the calculated volume: 24.8 Å³/atom. Its density of states at the Fermi level is 0.591 states/eV per atom.

***

(2)
# Li2MgGaF8

Crystalline Li2MgGaF8 at its relaxed geometry (GGA-PBE, the Alexandria database).

The space group is I-4m2 (No. 119) and the conventional cell measures 6.420, 6.420 and 6.821 Å, with angles of 90.00, 90.00 and 90.00 degrees. Symmetry generates all atoms from Li at (0.000, 0.000, 0.000), Li at (0.000, 0.500, 0.250), Mg at (0.000, 0.500, 0.750), Ga at (0.000, 0.000, 0.500), F at (0.000, 0.202, 0.803) and F at (0.000, 0.283, 0.434).

The electronic total energy is -109.5 eV/cell. The calculation puts the mass density at 3.07 Mg/m³. As for the calculated volume: 11.7 Å³/atom. Its density of states at the Fermi level is 0.871 states/eV per atom.

***

(3)
# K2PaTlTe4

Crystalline K2PaTlTe4 at its relaxed geometry (GGA-PBE, the Alexandria database).

The space group is P2/m (No. 10) and the conventional cell measures 8.370, 4.643 and 8.447 Å, with angles of 90.00, 107.47 and 90.00 degrees. Symmetry generates all atoms from K at (0.000, 0.000, 0.000), K at (0.000, 0.500, 0.500), Pa at (0.500, 0.000, 0.500), Tl at (0.500, 0.500, 0.000), Te at (0.289, 0.000, 0.722) and Te at (0.297, 0.500, 0.291).

The electronic total energy is -33.7 eV/cell. The calculation puts the mass density at 5.43 Mg/m³. As for the calculated volume: 39.1 Å³/atom.

***

(4)
# Ca4Cd2Ga

Crystalline Ca4Cd2Ga at its relaxed geometry (GGA-PBE, the Alexandria database).

The space group is R-3m (No. 166, hexagonal axes) and the conventional cell measures 5.3235, 5.3235 and 26.3218 Å, with angles of 90.00, 90.00 and 120.00 degrees. Symmetry generates all atoms from Ca at (0.0000, 0.0000, 0.1237), Ca at (0.0000, 0.0000, 0.3738), Cd at (0.0000, 0.0000, 0.2506) and Ga at (0.0000, 0.0000, 0.0000).

The electronic total energy is -44.7 eV/cell. For the energy of formation from the pure elements, the calculation gives -0.29 eV per atom. The calculation puts the mass density at 3.51 Mg/m³. As for the calculated volume: 30.8 Å³/atom. Its density of states at the Fermi level is 0.551 states/eV per atom.

***

(5)
# La2ZnTc

Crystalline La2ZnTc at its relaxed geometry (GGA-PBE, the Alexandria database).

The space group is I-4m2 (No. 119) and the conventional cell measures 4.512, 4.512 and 8.961 Å, with angles of 90.00, 90.00 and 90.00 degrees. Symmetry generates all atoms from La at (0.000, 0.000, 0.000), La at (0.000, 0.500, 0.250), Zn at (0.000, 0.000, 0.500) and Tc at (0.000, 0.500, 0.750).

The electronic total energy is -41.9 eV/cell. For the energy of formation from the pure elements, the calculation gives 0.14 eV per atom. The calculation puts the mass density at 8.03 Mg/m³. As for the calculated volume: 22.8 Å³/atom. Its density of states at the Fermi level is 1.304 states/eV per atom.

***

(6)
# KGeTe4

Crystalline KGeTe4 at its relaxed geometry (GGA-PBE, the Alexandria database).

The space group is C2/c (No. 15) and the conventional cell measures 11.005, 15.415 and 7.690 Å, with angles of 90.00, 127.98 and 90.00 degrees. Symmetry generates all atoms from K at (0.000, 0.115, 0.250), Ge at (0.000, 0.238, 0.750), Te at (0.048, 0.335, 0.102) and Te at (0.189, 0.101, 0.854).

The electronic total energy is -78.6 eV/cell. The calculation puts the mass density at 4.02 Mg/m³. As for the calculated volume: 42.8 Å³/atom. Its density of states at the Fermi level is 0.466 states/eV per atom.

***

(7)
# Sr2In2Ge3

Crystalline Sr2In2Ge3 at its relaxed geometry (GGA-PBE, the Alexandria database).

The space group is C2/m (No. 12) and the conventional cell measures 17.124, 4.458 and 12.839 Å, with angles of 90.00, 126.51 and 90.00 degrees. Symmetry generates all atoms from Sr at (0.109, 0.000, 0.451), Sr at (0.231, 0.000, 0.833), In at (0.042, 0.500, 0.805), In at (0.092, 0.000, 0.152), Ge at (0.075, 0.500, 0.613), Ge at (0.121, 0.000, 0.962) and Ge at (0.161, 0.500, 0.309).

The electronic total energy is -101.7 eV/cell. For the energy of formation from the pure elements, the calculation gives -0.39 eV per atom. The calculation puts the mass density at 5.25 Mg/m³. As for the calculated volume: 28.1 Å³/atom. Its density of states at the Fermi level is 0.437 states/eV per atom.

***

(8)
# Cd3BBr

Crystalline Cd3BBr at its relaxed geometry (GGA-PBE, the Alexandria database).

The space group is Pm-3m (No. 221) and the conventional cell measures 5.761, 5.761 and 5.761 Å, with angles of 90.00, 90.00 and 90.00 degrees. Symmetry generates all atoms from Cd at (0.000, 0.000, 0.500), B at (0.500, 0.500, 0.500) and Br at (0.000, 0.000, 0.000).

The electronic total energy is -4.0 eV/cell. The calculation puts the mass density at 3.72 Mg/m³. As for the calculated volume: 38.3 Å³/atom. Its density of states at the Fermi level is 0.219 states/eV per atom.

***

(9)
# HfIn2Ag2

Crystalline HfIn2Ag2 at its relaxed geometry (GGA-PBE, the Alexandria database).

The space group is P4/mbm (No. 127) and the conventional cell measures 8.180, 8.180 and 3.107 Å, with angles of 90.00, 90.00 and 90.00 degrees. Symmetry generates all atoms from Hf at (0.000, 0.000, 0.000), In at (0.178, 0.322, 0.500) and Ag at (0.122, 0.622, 0.000).

The electronic total energy is -41.4 eV/cell. For the energy of formation from the pure elements, the calculation gives 0.09 eV per atom. The calculation puts the mass density at 9.97 Mg/m³. As for the calculated volume: 20.8 Å³/atom. Its density of states at the Fermi level is 0.501 states/eV per atom.

***

(10)
# LiPa2Pb9

Crystalline LiPa2Pb9 at its relaxed geometry (GGA-PBE, the Alexandria database).

The space group is P4/mmm (No. 123) and the conventional cell measures 4.776, 4.776 and 14.838 Å, with angles of 90.00, 90.00 and 90.00 degrees. Symmetry generates all atoms from Li at (0.000, 0.000, 0.000), Pa at (0.000, 0.000, 0.342), Pb at (0.000, 0.500, 0.164), Pb at (0.000, 0.500, 0.500), Pb at (0.500, 0.500, 0.000) and Pb at (0.500, 0.500, 0.331).

The electronic total energy is -54.6 eV/cell. For the energy of formation from the pure elements, the calculation gives -0.02 eV per atom. The calculation puts the mass density at 11.45 Mg/m³. As for the calculated volume: 28.2 Å³/atom. Its density of states at the Fermi level is 0.988 states/eV per atom.

***

(11)
# TbDy15Tm4

Crystalline TbDy15Tm4 at its relaxed geometry (GGA-PBE, the Alexandria database).

The space group is P4/mmm (No. 123) and the conventional cell measures 4.986, 4.986 and 24.914 Å, with angles of 90.00, 90.00 and 90.00 degrees. Symmetry generates all atoms from Tb at (0.000, 0.000, 0.000), Dy at (0.000, 0.500, 0.101), Dy at (0.000, 0.500, 0.300), Dy at (0.000, 0.500, 0.500), Dy at (0.500, 0.500, 0.000), Dy at (0.500, 0.500, 0.201), Dy at (0.500, 0.500, 0.400), Tm at (0.000, 0.000, 0.200) and Tm at (0.000, 0.000, 0.400).

The electronic total energy is -91.2 eV/cell. For the energy of formation from the pure elements, the calculation gives 0.02 eV per atom. The calculation puts the mass density at 8.77 Mg/m³. As for the calculated volume: 31.0 Å³/atom. Its density of states at the Fermi level is 1.293 states/eV per atom.

***

(12)
# YThSe2N

Crystalline YThSe2N at its relaxed geometry (GGA-PBE, the Alexandria database).

The space group is P4/nmm (No. 129, origin choice 2) and the conventional cell measures 4.072, 4.072 and 14.640 Å, with angles of 90.00, 90.00 and 90.00 degrees. Symmetry generates all atoms from Y at (0.250, 0.250, 0.121), Th at (0.250, 0.250, 0.580), Se at (0.250, 0.250, 0.302), Se at (0.250, 0.250, 0.910) and N at (0.250, 0.750, 0.500).

The electronic total energy is -77.0 eV/cell. The calculation puts the mass density at 6.74 Mg/m³. As for the calculated volume: 24.3 Å³/atom. Its density of states at the Fermi level is 0.402 states/eV per atom.

***

Which value of electronic total energy does entry 5 give?
-41.9 eV/cell